Ag2TeSe after structural relaxation, computed with GGA-PBE.

Cell: 4.5125 6.7634 7.2443 Å, 92.71 86.14 93.03°
Last column: nearest neighbours and their distance in Å.
Positions (direct):
Ag: 0.7356 0.0013 0.9778  2 Se 2.65-2.70, 2 Te 2.79-2.84
Ag: 0.8201 0.4775 0.4812  2 Se 2.66-2.73, 2 Te 2.78-2.83, 1 Ag 2.96
Ag: 0.5140 0.3912 0.8725  3 Se 2.65-2.67, 1 Te 2.86
Ag: 0.0731 0.8788 0.5749  3 Se 2.64-2.67, 1 Te 2.82, 1 Ag 2.96
Te: 0.2172 0.9964 0.2108  3 Ag 2.79-2.84, 1 Te 2.79
Te: 0.3309 0.4053 0.2577  3 Ag 2.78-2.86, 1 Te 2.79
Se: 0.0165 0.2397 0.7362  5 Ag 2.65-2.73
Se: 0.5497 0.7396 0.7117  5 Ag 2.64-2.70

Calculated values
E_form (uncorrected): 0.0012 eV/atom
Space-group type: P1, No. 1
Energy relative to the lowest polymorph listed for this composition: 0.010 eV/atom